No. 1
Below is a relaxed CdHg2Pt2 crystal, with properties calculated at the GGA-PBE level.

Cell: 4.019 4.019 7.178 Å, 73.74 73.74 90.00°
Fractional coordinates of all 5 atoms:
Pt (0.597, 0.597, 0.805)
Hg (0.250, 0.750, 0.500)
Hg (0.750, 0.250, 0.500)
Pt (0.403, 0.403, 0.195)
Cd (0.000, 0.000, 0.000)

Properties
Energy relative to the lowest polymorph listed for this composition = 0.1860 eV/atom
Space-group type = I4/mmm, No. 139


No. 2
Below is a relaxed BaReHg2 crystal, with properties calculated at the GGA-PBE level.

Cell: 3.744 3.744 7.694 Å, 90.00 90.00 89.99°
Fractional coordinates of all 4 atoms:
Hg (0.000, 0.000, 0.049)
Hg (0.500, 0.500, 0.308)
Re (0.000, 0.000, 0.413)
Ba (0.500, 0.500, 0.730)

Properties
Energy relative to the lowest polymorph listed for this composition = 0.0682 eV/atom
Space-group type = P4mm, No. 99


No. 3
Below is a relaxed Zn3GaPd crystal, with properties calculated at the GGA-PBE level.

Cell: 4.824 4.824 4.824 Å, 90.00 90.00 90.00°
Fractional coordinates of all 5 atoms:
Zn (0.000, 0.000, 0.500)
Ga (0.500, 0.500, 0.500)
Pd (0.000, 0.000, 0.000)
Zn (0.000, 0.500, 0.000)
Zn (0.500, 0.000, 0.000)

Properties
Energy relative to the lowest polymorph listed for this composition = 0.2966 eV/atom
Space-group type = Pm-3m, No. 221


No. 4
Below is a relaxed UNiPt6 crystal, with properties calculated at the GGA-PBE level.

Cell: 4.028 5.682 5.682 Å, 89.98 90.00 90.00°
Last column: magnetic moment on the atom in μB.
Fractional coordinates of all 8 atoms:
Pt (0.000, 0.746, 0.746)  -0.01
Pt (0.500, 0.500, 0.000)  -0.01
Pt (0.500, 0.000, 0.500)  -0.01
Ni (0.500, 0.500, 0.500)  -0.02
Pt (0.000, 0.254, 0.746)  -0.01
Pt (0.000, 0.254, 0.254)  -0.01
U (0.500, 0.000, 0.000)  0.15
Pt (0.000, 0.746, 0.254)  -0.01

Properties
Energy relative to the lowest polymorph listed for this composition = 0.0000 eV/atom
Space-group type = P4/mmm, No. 123


No. 5
Below is a relaxed TlZn2InRh crystal, with properties calculated at the GGA-PBE level.

Cell: 4.895 5.122 4.895 Å, 90.00 90.00 90.00°
Fractional coordinates of all 5 atoms:
Tl (0.500, 0.500, 0.500)
Rh (0.000, 0.000, 0.000)
In (0.000, 0.500, 0.000)
Zn (0.000, 0.000, 0.500)
Zn (0.500, 0.000, 0.000)

Properties
Space-group type = P4/mmm, No. 123


No. 6
Below is a relaxed Li2CdHgH crystal, with properties calculated at the GGA-PBE level.

Cell: 4.257 4.257 4.251 Å, 90.00 90.00 90.00°
Fractional coordinates of all 5 atoms:
Li (0.000, 0.500, 0.000)
Cd (0.000, 0.000, 0.500)
Li (0.500, 0.000, 0.000)
H (0.000, 0.000, 0.000)
Hg (0.500, 0.500, 0.500)

Properties
Energy relative to the lowest polymorph listed for this composition = 0.0000 eV/atom
Space-group type = P4/mmm, No. 123


The following total energy values (in eV/atom) correspond, in order, to the records above: -2.61, -3.09, -2.28, -7.10, -3.01, -1.86.
The following size of the total moment values (in μB/atom) correspond, in order, to the records above: 0.00, 0.00, 0.00, 0.01, 0.00, 0.00.